First-principles (PBE) data for a geometry-optimized Mg4Al3Cu2 structure, as listed in the Alexandria database.

Summary:
E_form = -0.445 eV/f.u.
space-group type = C2/m
raw total energy = -26.24 eV for the cell shown

POSCAR file:
```
Mg4Al3Cu2
1.0
-3.489 -1.574 1.266
3.278 -4.912 2.927
0.991 5.908 3.657
Mg Al Cu
4 3 2
direct
0.231 0.667 0.463
0.769 0.333 0.537
0.601 0.866 0.202
0.399 0.134 0.798
0.089 0.187 0.179
0.911 0.813 0.821
0.000 0.500 0.000
0.406 0.559 0.812
0.594 0.441 0.188
```